1.
The following is a DFT calculation (GGA-PBE) of a relaxed structure of LiBi2Ir.

abc: 7.029 7.029 7.029
angles: 90.00 90.00 90.00
Space group F-43m (No. 216)
One atom of each set of equivalent atoms:
Li1 0.000 0.000 0.000
Bi1 0.000 0.000 0.500
Bi2 0.250 0.250 0.750
Ir1 0.250 0.250 0.250

**Total DFT energy (no corrections)**: -4.39 eV per atom
**Spin magnetization**: 0.01 μB per cell
**Crystal system**: cubic
**Density**: 11.802 g cm⁻³

---

2.
The following is a DFT calculation (GGA-PBE) of a relaxed structure of RbSmTe3Pb.

abc: 4.701 16.597 12.641
angles: 90.00 90.00 90.00
Space group Cmcm (No. 63)
One atom of each set of equivalent atoms:
Rb1 0.000 0.242 0.250
Sm1 0.000 0.500 0.000
Te1 0.000 0.130 0.527
Te2 0.000 0.435 0.750
Pb1 0.000 0.052 0.750

**Total DFT energy (no corrections)**: -4.05 eV per atom
**Spin magnetization**: 0.00 μB per cell
**Crystal system**: orthorhombic
**Density**: 5.562 g cm⁻³

---

3.
The following is a DFT calculation (GGA-PBE) of a relaxed structure of FeAg2Ir.

abc: 6.303 6.303 6.303
angles: 90.00 90.00 90.00
Space group F-43m (No. 216)
One atom of each set of equivalent atoms:
Fe1 0.000 0.000 0.000
Ag1 0.000 0.000 0.500
Ag2 0.250 0.250 0.750
Ir1 0.250 0.250 0.250

**Total DFT energy (no corrections)**: -5.31 eV per atom
**Spin magnetization**: 15.30 μB per cell
**E_form**: 0.39 eV/atom
**Crystal system**: cubic
**Density**: 12.301 g cm⁻³

---

4.
The following is a DFT calculation (GGA-PBE) of a relaxed structure of Zr3Ge2Au2.

abc: 4.6961 4.6961 23.2881
angles: 90.00 90.00 120.00
Space group R3m (No. 160, hexagonal axes)
One atom of each set of equivalent atoms:
Zr1 0.0000 0.0000 0.0000
Zr2 0.0000 0.0000 0.2469
Zr3 0.0000 0.0000 0.4938
Ge1 0.0000 0.0000 0.1203
Ge2 0.0000 0.0000 0.6202
Au1 0.0000 0.0000 0.3765
Au2 0.0000 0.0000 0.8582

**Total DFT energy (no corrections)**: -6.31 eV per atom
**Spin magnetization**: 0.04 μB per cell
**Crystal system**: trigonal
**Density**: 9.105 g cm⁻³

---

5.
The following is a DFT calculation (GGA-PBE) of a relaxed structure of RbLiMoPt.

abc: 7.037 7.037 7.037
angles: 90.00 90.00 90.00
Space group F-43m (No. 216)
One atom of each set of equivalent atoms:
Rb1 0.000 0.000 0.000
Li1 0.250 0.250 0.750
Mo1 0.000 0.000 0.500
Pt1 0.250 0.250 0.250

**Total DFT energy (no corrections)**: -3.95 eV per atom
**Spin magnetization**: 15.48 μB per cell
**Excess energy over the best structure of this formula in the dataset**: 99.3 meV per atom
**Crystal system**: cubic
**Density**: 7.309 g cm⁻³

---

6.
The following is a DFT calculation (GGA-PBE) of a relaxed structure of K2WSe2S.

abc: 6.860 7.452 8.606
angles: 75.11 71.04 67.48
Space group P-1 (No. 2)
One atom of each set of equivalent atoms:
K1 0.110 0.195 0.127
K2 0.346 0.566 0.305
W1 0.374 0.052 0.660
Se1 0.163 0.381 0.718
Se2 0.366 0.817 0.910
S1 0.274 0.959 0.472

**Total DFT energy (no corrections)**: -5.20 eV per atom
**Spin magnetization**: 0.01 μB per cell
**Crystal system**: triclinic
**Density**: 3.951 g cm⁻³

---

7.
The following is a DFT calculation (GGA-PBE) of a relaxed structure of K3Lu2As3.

abc: 7.641 6.941 11.247
angles: 90.00 108.85 90.00
Space group P2_1/m (No. 11)
One atom of each set of equivalent atoms:
K1 0.066 0.250 0.438
K2 0.130 0.250 0.073
K3 0.366 0.750 0.364
Lu1 0.364 0.502 0.833
As1 0.083 0.250 0.739
As2 0.352 0.750 0.029
As3 0.453 0.750 0.674

**Total DFT energy (no corrections)**: -4.09 eV per atom
**Spin magnetization**: 0.00 μB per cell
**Crystal system**: monoclinic
**Density**: 4.071 g cm⁻³

---

8.
The following is a DFT calculation (GGA-PBE) of a relaxed structure of ScNiBOs.

abc: 5.974 5.974 5.974
angles: 90.00 90.00 90.00
Space group F-43m (No. 216)
One atom of each set of equivalent atoms:
Sc1 0.000 0.000 0.000
Ni1 0.000 0.000 0.500
B1 0.250 0.250 0.250
Os1 0.250 0.250 0.750

**Total DFT energy (no corrections)**: -6.85 eV per atom
**Spin magnetization**: 2.60 μB per cell
**Excess energy over the best structure of this formula in the dataset**: 556.9 meV per atom
**Crystal system**: cubic
**Density**: 9.493 g cm⁻³

---

9.
The following is a DFT calculation (GGA-PBE) of a relaxed structure of ZnReTcNi.

abc: 6.034 6.034 6.034
angles: 90.00 90.00 90.00
Space group F-43m (No. 216)
One atom of each set of equivalent atoms:
Zn1 0.000 0.000 0.000
Re1 0.000 0.000 0.500
Tc1 0.250 0.250 0.750
Ni1 0.250 0.250 0.250

**Total DFT energy (no corrections)**: -7.27 eV per atom
**Spin magnetization**: 0.40 μB per cell
**E_form**: 0.14 eV/atom
**Crystal system**: cubic
**Density**: 12.344 g cm⁻³

---

10.
The following is a DFT calculation (GGA-PBE) of a relaxed structure of Co8Te.

abc: 7.782 3.548 28.291
angles: 90.00 90.19 90.00
Space group C2/m (No. 12)
One atom of each set of equivalent atoms:
Co1 0.049 0.000 0.403
Co2 0.051 0.500 0.542
Co3 0.053 0.000 0.677
Co4 0.150 0.000 0.486
Co5 0.150 0.500 0.625
Co6 0.154 0.500 0.350
Co7 0.249 0.000 0.293
Co8 0.249 0.500 0.431
Te1 0.051 0.500 0.257

**Total DFT energy (no corrections)**: -6.64 eV per atom
**Spin magnetization**: 47.98 μB per cell
**Crystal system**: monoclinic
**Density**: 5.094 g cm⁻³

---

11.
The following is a DFT calculation (GGA-PBE) of a relaxed structure of Be2CoPt.

abc: 5.613 5.613 5.613
angles: 90.00 90.00 90.00
Space group F-43m (No. 216)
One atom of each set of equivalent atoms:
Be1 0.000 0.000 0.000
Be2 0.250 0.250 0.250
Co1 0.250 0.250 0.750
Pt1 0.000 0.000 0.500

**Total DFT energy (no corrections)**: -5.31 eV per atom
**Spin magnetization**: 5.24 μB per cell
**Excess energy over the best structure of this formula in the dataset**: 443.9 meV per atom
**Crystal system**: cubic
**Density**: 10.219 g cm⁻³

---

12.
The following is a DFT calculation (GGA-PBE) of a relaxed structure of DyLuCo.

abc: 6.545 6.545 6.545
angles: 90.00 90.00 90.00
Space group F-43m (No. 216)
One atom of each set of equivalent atoms:
Dy1 0.000 0.000 0.000
Lu1 0.250 0.250 0.750
Co1 0.000 0.000 0.500

**Total DFT energy (no corrections)**: -4.62 eV per atom
**Spin magnetization**: 0.00 μB per cell
**Excess energy over the best structure of this formula in the dataset**: 0.0 meV per atom
**E_form**: 0.79 eV/atom
**Crystal system**: cubic
**Density**: 9.392 g cm⁻³